## BaBeAs2Br (PBE)

Data for a relaxed BaBeAs2Br crystal.

Computed properties:
Uncorrected formation energy ... -2.78 eV/f.u.
Total DFT energy (no corrections) ... -3.88 eV/atom
N(E_F) ... 2.46 states/eV/cell
Density ... 4.82 g cm⁻³

a = 4.512 Å, b = 4.512 Å, c = 6.360 Å
α = 90.00°, β = 90.00°, γ = 90.00°
Positions (direct):
Be (0.000, 0.000, 0.000)
As (0.000, 0.500, 0.000)
As (0.500, 0.000, 0.000)
Ba (0.500, 0.500, 0.500)
Br (0.000, 0.000, 0.500)



## Tm7Mg5Pb (PBE)

Data for a relaxed Tm7Mg5Pb crystal.

Computed properties:
DFT formation energy ... 61 meV/atom
Total DFT energy (no corrections) ... -3.25 eV/atom
N(E_F) ... 16.06 states/eV/cell
Density ... 6.84 g cm⁻³

a = 6.115 Å, b = 8.348 Å, c = 8.348 Å
α = 77.12°, β = 68.52°, γ = 68.52°
Positions (direct):
Tm (0.631, 0.369, 0.369)
Tm (0.360, 0.640, 0.640)
Tm (0.004, 0.335, 0.658)
Tm (0.004, 0.658, 0.335)
Tm (0.266, 0.234, 0.234)
Tm (0.506, 0.811, 0.178)
Tm (0.506, 0.178, 0.811)
Mg (0.507, 0.993, 0.502)
Mg (0.997, 0.993, 0.502)
Mg (0.507, 0.502, 0.993)
Mg (0.997, 0.502, 0.993)
Mg (0.748, 0.752, 0.752)
Pb (0.967, 0.033, 0.033)